Computed, not measured: an optimized crystal structure of BiMo2NO at the PBE+U level of DFT.

Output
Calculated density, g cm⁻³: 7.73
Total magnetic moment, μB per atom: 1.169
E, eV per cell: -27.6

a b c (Å): 4.0933 4.0933 5.5212
angles (deg): 90.00 90.00 90.00
Last column: nearest neighbours and their distance in Å.
Positions (direct):
1 Bi 0.0000 0.0000 0.0000  4 O 2.89
2 Mo 0.0000 0.5000 0.5000  2 N 2.05
3 Mo 0.5000 0.0000 0.5000  2 N 2.05
4 N 0.5000 0.5000 0.5000  4 Mo 2.05
5 O 0.5000 0.5000 0.0000  2 N 2.76, 4 Bi 2.89